A plane-wave DFT calculation with PBE+U was carried out for an optimized crystal structure of AgBiWO5.

Cell: 6.4422 6.4422 8.6888 Å, 109.25 109.25 92.70°
Sites, in units of the cell vectors:
Ag1 0.1993 0.8007 0.7500
Ag2 0.8007 0.1993 0.2500
Bi1 0.5000 0.5000 0.0000
Bi2 0.5000 0.5000 0.5000
W1 0.1358 0.8642 0.2500
W2 0.8642 0.1358 0.7500
O1 0.1688 0.2092 0.8512
O2 0.2092 0.1688 0.3512
O3 0.2416 0.7417 0.4144
O4 0.2583 0.7584 0.0856
O5 0.4292 0.5708 0.7500
O6 0.5708 0.4292 0.2500
O7 0.7417 0.2416 0.9144
O8 0.7584 0.2583 0.5856
O9 0.7908 0.8312 0.6488
O10 0.8312 0.7908 0.1488

## Properties
**Crystal system**: monoclinic
**Energy**: -98.09 eV for the cell shown
**Magnetic moment**: 0.0 Bohr magnetons per cell